The following is a DFT calculation (PBE) of an optimized crystal structure of TmWC.

a b c (Å): 4.362 3.623 3.623
angles (deg): 120.00 90.00 90.00
Positions (direct):
C1 0.166 0.000 0.000
Tm1 0.667 0.667 0.333
W1 0.167 0.333 0.667

Output
Final energy, eV per atom: -8.53
Symmetry: No. 187
Excess energy over the best structure of this formula in the dataset, meV/atom: 399



The following is a DFT calculation (PBE) of an optimized crystal structure of PaBe2Pt.

a b c (Å): 2.964 2.964 6.622
angles (deg): 90.00 90.00 90.00
Positions (direct):
Pa1 0.500 0.500 0.500
Pt1 0.500 0.500 0.000
Be1 0.000 0.000 0.818
Be2 0.000 0.000 0.182

Output
Final energy, eV per atom: -6.07
Symmetry: No. 123
Excess energy over the best structure of this formula in the dataset, meV/atom: 0



The following is a DFT calculation (PBE) of an optimized crystal structure of La2AlCl.

a b c (Å): 3.837 3.837 9.179
angles (deg): 77.92 77.92 59.97
Positions (direct):
Al1 0.667 0.667 0.000
La1 0.082 0.082 0.753
La2 0.251 0.251 0.247
Cl1 0.500 0.500 0.500

Output
Final energy, eV per atom: -4.74
Symmetry: No. 160
Formation energy (no corrections), kJ/mol of formula units: -340.9
Excess energy over the best structure of this formula in the dataset, meV/atom: 62



The following is a DFT calculation (PBE) of an optimized crystal structure of YSc2TlO.

a b c (Å): 4.513 4.513 4.751
angles (deg): 90.00 90.00 90.00
Positions (direct):
Sc1 0.000 0.500 0.000
Sc2 0.500 0.000 0.000
Y1 0.000 0.000 0.500
O1 0.000 0.000 0.000
Tl1 0.500 0.500 0.500

Output
Final energy, eV per atom: -6.66
Symmetry: No. 123
Formation energy (no corrections), kJ/mol of formula units: -660.6
Excess energy over the best structure of this formula in the dataset, meV/atom: 0



The following is a DFT calculation (PBE) of an optimized crystal structure of Sc2Ag2Pd.

a b c (Å): 3.309 3.629 8.369
angles (deg): 77.48 90.00 90.00
Positions (direct):
Ag1 0.000 0.813 0.375
Sc1 0.500 0.404 0.191
Ag2 0.000 0.187 0.625
Sc2 0.500 0.596 0.809
Pd1 0.000 0.000 0.000

Output
Final energy, eV per atom: -5.09
Symmetry: No. 65
Excess energy over the best structure of this formula in the dataset, meV/atom: 0



The following is a DFT calculation (PBE) of an optimized crystal structure of KHg3P.

a b c (Å): 5.753 7.084 8.692
angles (deg): 88.04 78.57 70.22
Positions (direct):
P1 0.790 0.185 0.678
Hg1 0.732 0.963 0.489
P2 0.716 0.715 0.306
Hg2 0.246 0.031 0.248
Hg3 0.115 0.727 0.058
K1 0.225 0.202 0.873
Hg4 0.584 0.331 0.143
Hg5 0.690 0.660 0.887
Hg6 0.836 0.420 0.470
K2 0.245 0.704 0.630

Output
Final energy, eV per atom: -1.58
Symmetry: No. 1
Excess energy over the best structure of this formula in the dataset, meV/atom: 45



Look up the final energy of the sixth one. -1.58 eV per atom